VASP calculation (PBE-GGA) on crystalline SmDy3Ag2 at its relaxed geometry.

Properties
Total DFT energy (no corrections) (eV per cell): -48.0
DFT formation energy (eV/atom): 0.04
Total moment (Bohr magnetons per cell): 0.0
Excess energy over the best structure of this formula in the dataset (meV/atom): 237.0
Symmetry: No. 72
Calculated density (g/cm3): 7.7

Cell: 7.091 7.427 8.690 Å, 115.30 114.08 90.00°
Element x y z (fractional)
Sm: 0.000 0.500 0.000
Sm: 0.000 0.000 0.000
Dy: 0.500 0.250 0.000
Dy: 0.500 0.750 0.000
Dy: 0.771 0.021 0.542
Dy: 0.229 0.479 0.458
Dy: 0.229 0.979 0.458
Dy: 0.771 0.521 0.542
Ag: 0.555 0.357 0.713
Ag: 0.842 0.143 0.287
Ag: 0.158 0.857 0.713
Ag: 0.445 0.643 0.287